First-principles (PBE-GGA) data for a geometry-optimized Li3Ga4 structure, as listed in the Alexandria database.

Computed properties:
final energy	-19.588	eV per cell
M_tot	0.000	μB per atom
DFT formation energy	-0.25	eV/atom

a b c (Å): 10.0351 10.0351 10.0351
angles (deg): 163.35 157.09 28.45
Sites, in units of the cell vectors:
Li (0.0000, 0.0000, 0.0000)
Li (0.1412, 0.1412, 0.0000)
Li (0.8588, 0.8588, 0.0000)
Ga (0.2857, 0.2857, 0.0000)
Ga (0.4288, 0.4288, 0.0000)
Ga (0.5712, 0.5712, 0.0000)
Ga (0.7143, 0.7143, 0.0000)